Entry 1:
Sr2Ce3S8: relaxed, PBE.

Lattice parameters (Å, degrees): 4.612 10.161 8.806 125.33 90.00 90.00
Element x y z (fractional)
S 0.000 0.385 0.770
S 0.500 0.347 0.224
S 0.500 0.653 0.776
S 0.000 0.110 0.220
S 0.000 0.615 0.230
S 0.500 0.123 0.776
S 0.500 0.877 0.224
S 0.000 0.890 0.780
Sr 0.500 0.736 0.472
Sr 0.500 0.264 0.528
Ce 0.000 0.710 0.000
Ce 0.000 0.290 0.000
Ce 0.500 0.000 0.000

Properties
ΔE_f (raw): -171.74 kJ per mole of atoms
calculated volume: 25.90 Å³ per atom
space group: No. 10



Entry 2:
InSi2Te: relaxed, PBE.

Lattice parameters (Å, degrees): 4.992 4.992 4.992 60.00 60.00 60.00
Element x y z (fractional)
Te 0.750 0.750 0.750
In 0.500 0.500 0.500
Si 0.000 0.000 0.000
Si 0.250 0.250 0.250

Properties
ΔE_f (raw): 54.91 kJ per mole of atoms
calculated volume: 22.00 Å³ per atom
space group: No. 216



Entry 3:
YCr2In: relaxed, PBE.

Lattice parameters (Å, degrees): 3.155 3.155 7.624 90.00 90.00 90.00
Last column: magnetic moment on the atom in μB.
Element x y z (fractional)
Cr 0.000 0.000 0.067  -1.93
Cr 0.500 0.500 0.200  2.12
In 0.000 0.000 0.454  -0.04
Y 0.500 0.500 0.779  0.18

Properties
calculated volume: 18.97 Å³ per atom
formation enthalpy at 0 K: 0.111 eV/atom
space group: No. 99



Entry 4:
MnSi2Br: relaxed, PBE.

Lattice parameters (Å, degrees): 4.733 4.191 4.196 70.57 90.00 90.00
Last column: magnetic moment on the atom in μB.
Element x y z (fractional)
Si 0.000 0.575 0.575  -0.06
Si 0.000 0.925 0.925  -0.06
Mn 0.500 0.750 0.750  3.41
Br 0.500 0.250 0.250  0.03

Properties
ΔE_f (raw): 31.45 kJ per mole of atoms
calculated volume: 19.62 Å³ per atom
space group: No. 65



The highest calculated volume belongs to which entry?
Sr2Ce3S8